First-principles (PBE-GGA) data for crystalline Er7Sn2Ru2 at its relaxed geometry, as listed in Alexandria.

Results
Space group: Cmmm, No. 65
Formation enthalpy at 0 K, eV per atom: -0.35
Mass density, Mg/m³: 8.70

a b c (Å): 6.7032 7.1249 6.7032
angles (deg): 90.00 106.18 90.00
Closest atoms and distances in Å follow each position.
Element x y z (fractional)
Ru 0.2887 0.0000 0.7113  6 Er 2.71-2.81
Ru 0.7113 0.0000 0.2887  6 Er 2.71-2.81
Er 0.5000 0.2331 0.5000  2 Ru 2.81
Er 0.0000 0.7532 0.5000  2 Ru 2.71
Sn 0.8169 0.5000 0.8169  1 Sn 2.95, 6 Er 3.18-3.27
Er 0.5000 0.7532 0.0000  2 Ru 2.71
Er 0.5000 0.2468 0.0000  2 Ru 2.71
Er 0.5000 0.7669 0.5000  2 Ru 2.81
Er 0.0000 0.0000 0.0000  2 Ru 3.10
Sn 0.1831 0.5000 0.1831  1 Sn 2.95, 6 Er 3.18-3.27
Er 0.0000 0.2468 0.5000  2 Ru 2.71